# 1
Here is a relaxed ScZnSe2 crystal from Alexandria via LeMat-Bulk. Energies are from PBE-GGA. Values from VASP.

The structure in Quantum ESPRESSO input format:
```
&SYSTEM
  ibrav = 0, nat = 4, ntyp = 3
/
ATOMIC_SPECIES
Sc 44.96 Sc.upf
Se 78.96 Se.upf
Zn 65.41 Zn.upf
CELL_PARAMETERS angstrom
4.854 0.000 0.000
2.427 4.204 0.000
2.427 1.401 3.963
ATOMIC_POSITIONS crystal
Sc 0.500 0.500 0.500
Se 0.000 0.000 0.000
Se 0.250 0.250 0.250
Zn 0.750 0.750 0.750
```

- Uncorrected energy: -3.91 eV per atom
- Size of the total moment: 0.000 μB/atom
- Crystal system: cubic
- Raw formation energy: -0.27 eV/atom
- V: 81 Å³ per cell
- Symmetry: F-43m


# 2
Here is a relaxed ScZnSe crystal from Alexandria via LeMat-Bulk. Energies are from PBE-GGA. Values from VASP.

The structure in Quantum ESPRESSO input format:
```
&SYSTEM
  ibrav = 0, nat = 6, ntyp = 3
/
ATOMIC_SPECIES
Sc 44.96 Sc.upf
Zn 65.41 Zn.upf
Se 78.96 Se.upf
CELL_PARAMETERS angstrom
5.241 0.000 0.000
0.000 4.085 0.000
-2.541 0.000 5.817
ATOMIC_POSITIONS crystal
Sc 0.306 0.250 0.576
Sc 0.694 0.750 0.424
Zn 0.413 0.250 0.086
Zn 0.587 0.750 0.914
Se 0.892 0.250 0.723
Se 0.108 0.750 0.277
```

- Uncorrected energy: -4.53 eV per atom
- Size of the total moment: 0.000 μB/atom
- E above lowest polymorph: 13.6 kJ/mol of atoms
- Crystal system: monoclinic
- Raw formation energy: -0.83 eV/atom
- V: 125 Å³ per cell
- Symmetry: P2_1/m


# 3
Here is a relaxed ScZn2Se crystal from Alexandria via LeMat-Bulk. Energies are from PBE-GGA. Values from VASP.

The structure in Quantum ESPRESSO input format:
```
&SYSTEM
  ibrav = 0, nat = 4, ntyp = 3
/
ATOMIC_SPECIES
Sc 44.96 Sc.upf
Se 78.96 Se.upf
Zn 65.41 Zn.upf
CELL_PARAMETERS angstrom
-1.356 -2.835 2.126
-1.147 -1.811 -3.145
4.618 -2.424 -0.288
ATOMIC_POSITIONS crystal
Sc 0.500 0.000 0.500
Se 0.000 0.500 0.500
Zn 0.000 0.000 0.000
Zn 0.500 0.500 0.000
```

- Uncorrected energy: -3.58 eV per atom
- Size of the total moment: 0.000 μB/atom
- Crystal system: orthorhombic
- Raw formation energy: -0.49 eV/atom
- V: 75 Å³ per cell
- Symmetry: Pmmm


# 4
Here is a relaxed Sc2ZnSe4 crystal from Alexandria via LeMat-Bulk. Energies are from PBE-GGA. Values from VASP.

The structure in Quantum ESPRESSO input format:
```
&SYSTEM
  ibrav = 0, nat = 14, ntyp = 3
/
ATOMIC_SPECIES
Sc 44.96 Sc.upf
Zn 65.41 Zn.upf
Se 78.96 Se.upf
CELL_PARAMETERS angstrom
7.829 0.000 0.000
3.915 6.780 0.000
3.915 2.260 6.392
ATOMIC_POSITIONS crystal
Sc 0.125 0.625 0.625
Sc 0.625 0.125 0.625
Sc 0.625 0.625 0.125
Sc 0.625 0.625 0.625
Zn 0.250 0.250 0.250
Zn 0.000 0.000 0.000
Se 0.860 0.380 0.380
Se 0.380 0.860 0.380
Se 0.380 0.380 0.860
Se 0.380 0.380 0.380
Se 0.390 0.870 0.870
Se 0.870 0.390 0.870
Se 0.870 0.870 0.390
Se 0.870 0.870 0.870
```

- Uncorrected energy: -5.39 eV per atom
- Size of the total moment: 0.000 μB/atom
- Crystal system: cubic
- Raw formation energy: -1.41 eV/atom
- V: 339 Å³ per cell
- Symmetry: Fd-3m